<a>
Below is a relaxed structure of SiC, with properties calculated at the PBEsol level.

```
data_SiC
_cell_length_a 3.0804
_cell_length_b 3.0804
_cell_length_c 219.1863
_cell_angle_alpha 90.00
_cell_angle_beta 90.00
_cell_angle_gamma 120.00
_symmetry_space_group_name_H-M 'R 3 m'
_symmetry_Int_Tables_number 160
_symmetry_space_group_name_Hall 'R 3 -2"'
loop_
_atom_site_label
_atom_site_type_symbol
_atom_site_fract_x
_atom_site_fract_y
_atom_site_fract_z
Si1 Si 0.0000 0.0000 0.0000
Si2 Si 0.0000 0.0000 0.0230
Si3 Si 0.0000 0.0000 0.0460
Si4 Si 0.0000 0.0000 0.0920
Si5 Si 0.0000 0.0000 0.1150
Si6 Si 0.0000 0.0000 0.1609
Si7 Si 0.0000 0.0000 0.1839
Si8 Si 0.0000 0.0000 0.2299
Si9 Si 0.0000 0.0000 0.2529
Si10 Si 0.0000 0.0000 0.2989
Si11 Si 0.0000 0.0000 0.3219
Si12 Si 0.0000 0.0000 0.3678
Si13 Si 0.0000 0.0000 0.4023
Si14 Si 0.0000 0.0000 0.4368
Si15 Si 0.0000 0.0000 0.4713
Si16 Si 0.0000 0.0000 0.5058
Si17 Si 0.0000 0.0000 0.5402
Si18 Si 0.0000 0.0000 0.5747
Si19 Si 0.0000 0.0000 0.6092
Si20 Si 0.0000 0.0000 0.6437
Si21 Si 0.0000 0.0000 0.6782
Si22 Si 0.0000 0.0000 0.7241
Si23 Si 0.0000 0.0000 0.7471
Si24 Si 0.0000 0.0000 0.7931
Si25 Si 0.0000 0.0000 0.8161
Si26 Si 0.0000 0.0000 0.8621
Si27 Si 0.0000 0.0000 0.8851
Si28 Si 0.0000 0.0000 0.9310
Si29 Si 0.0000 0.0000 0.9540
C1 C 0.0000 0.0000 0.0144
C2 C 0.0000 0.0000 0.0374
C3 C 0.0000 0.0000 0.0833
C4 C 0.0000 0.0000 0.1063
C5 C 0.0000 0.0000 0.1523
C6 C 0.0000 0.0000 0.1753
C7 C 0.0000 0.0000 0.2213
C8 C 0.0000 0.0000 0.2443
C9 C 0.0000 0.0000 0.2902
C10 C 0.0000 0.0000 0.3132
C11 C 0.0000 0.0000 0.3592
C12 C 0.0000 0.0000 0.3937
C13 C 0.0000 0.0000 0.4281
C14 C 0.0000 0.0000 0.4626
C15 C 0.0000 0.0000 0.4971
C16 C 0.0000 0.0000 0.5316
C17 C 0.0000 0.0000 0.5661
C18 C 0.0000 0.0000 0.6006
C19 C 0.0000 0.0000 0.6350
C20 C 0.0000 0.0000 0.6695
C21 C 0.0000 0.0000 0.7155
C22 C 0.0000 0.0000 0.7385
C23 C 0.0000 0.0000 0.7845
C24 C 0.0000 0.0000 0.8075
C25 C 0.0000 0.0000 0.8534
C26 C 0.0000 0.0000 0.8765
C27 C 0.0000 0.0000 0.9224
C28 C 0.0000 0.0000 0.9454
C29 C 0.0000 0.0000 0.9914
```

=====

<b>
Below is a relaxed structure of SiC, with properties calculated at the PBEsol level.

```
data_SiC
_cell_length_a 2.8662
_cell_length_b 2.8662
_cell_length_c 5.0204
_cell_angle_alpha 90.00
_cell_angle_beta 90.00
_cell_angle_gamma 120.00
_symmetry_space_group_name_H-M 'P 63/m m c'
_symmetry_Int_Tables_number 194
_symmetry_space_group_name_Hall '-P 6c 2c'
loop_
_atom_site_label
_atom_site_type_symbol
_atom_site_fract_x
_atom_site_fract_y
_atom_site_fract_z
Si1 Si 0.3333 0.6667 0.2500
C1 C 0.0000 0.0000 0.0000
```

=====

Energy above the most stable structure, in meV/atom: <a> 0; <b> 1196

=====

<a>
Below is a relaxed structure of Si3C4, with properties calculated at the PBEsol level.

```
data_Si3C4
_cell_length_a 3.9491
_cell_length_b 3.9491
_cell_length_c 3.9491
_cell_angle_alpha 90.00
_cell_angle_beta 90.00
_cell_angle_gamma 90.00
_symmetry_space_group_name_H-M 'P m -3 m'
_symmetry_Int_Tables_number 221
_symmetry_space_group_name_Hall '-P 4 2 3'
loop_
_atom_site_label
_atom_site_type_symbol
_atom_site_fract_x
_atom_site_fract_y
_atom_site_fract_z
Si1 Si 0.0000 0.0000 0.5000
C1 C 0.0000 0.0000 0.0000
C2 C 0.0000 0.5000 0.5000
```

=====

<b>
Below is a relaxed structure of Si3C4, with properties calculated at the PBEsol level.

```
data_Si3C4
_cell_length_a 4.3913
_cell_length_b 4.3913
_cell_length_c 4.3913
_cell_angle_alpha 90.00
_cell_angle_beta 90.00
_cell_angle_gamma 90.00
_symmetry_space_group_name_H-M 'P -4 3 m'
_symmetry_Int_Tables_number 215
_symmetry_space_group_name_Hall 'P -4 2 3'
loop_
_atom_site_label
_atom_site_type_symbol
_atom_site_fract_x
_atom_site_fract_y
_atom_site_fract_z
Si1 Si 0.0000 0.0000 0.5000
C1 C 0.2282 0.2282 0.2282
```

=====

Energy above the most stable structure, in meV/atom: <a> 184; <b> 0